(1)
DFT (PBE) results for crystalline RbCdBiPt at its relaxed geometry.

Calculated values
Final energy (eV/atom): -3.196
Total magnetization (μB per formula unit): 0.00
Formation enthalpy at 0 K (eV/atom): -0.244

abc: 4.8138 4.8138 19.8395
angles: 90.00 90.00 120.00
Space group R3m (No. 160, hexagonal axes)
Unique sites:
1 Rb 0.0000 0.0000 0.0000 x3
2 Cd 0.0000 0.0000 0.4619 x3
3 Bi 0.0000 0.0000 0.1950 x3
4 Pt 0.0000 0.0000 0.8189 x3



(2)
DFT (PBE) results for crystalline BiP2RuCl at its relaxed geometry.

Calculated values
Raw formation energy (eV/atom): 1.54
Final energy (eV/atom): -3.620
Total magnetization (μB per formula unit): 3.70
Polymorph energy (0 for the lowest one) (kJ/mol of formula units): 591

abc: 5.277 5.277 5.226
angles: 90.00 90.00 90.00
Space group P4/mmm (No. 123)
Unique sites:
1 Bi 0.000 0.000 0.000 x1
2 P 0.000 0.500 0.000 x2
3 Ru 0.500 0.500 0.500 x1
4 Cl 0.000 0.000 0.500 x1



(3)
DFT (PBE) results for crystalline AcLaSmY3 at its relaxed geometry.

Calculated values
Final energy (eV/atom): -5.489
Total magnetization (μB per formula unit): 0.00
Formation enthalpy at 0 K (eV/atom): 0.035

abc: 11.026 3.696 11.031
angles: 90.00 109.77 90.00
Space group P2_1/m (No. 11)
Unique sites:
1 Ac 0.211 0.250 0.370 x2
2 La 0.129 0.750 0.630 x2
3 Sm 0.379 0.250 0.879 x2
4 Y 0.044 0.250 0.882 x2
5 Y 0.294 0.750 0.118 x2
6 Y 0.461 0.750 0.631 x2



(4)
DFT (PBE) results for crystalline Be3OsPb at its relaxed geometry.

Calculated values
Final energy (eV/atom): -4.693
Total magnetization (μB per formula unit): 0.00
Polymorph energy (0 for the lowest one) (kJ/mol of formula units): 0
Formation enthalpy at 0 K (eV/atom): 0.531

abc: 4.359 4.359 4.359
angles: 90.00 90.00 90.00
Space group Pm-3m (No. 221)
Unique sites:
1 Be 0.000 0.000 0.500 x3
2 Os 0.000 0.000 0.000 x1
3 Pb 0.500 0.500 0.500 x1